No. 1
Compound: PaPbS4
Source: Alexandria
Functional: PBE
Structure: relaxed

Output
The value obtained for the uncorrected formation energy is -5.05 eV/f.u. The energy relative to the lowest polymorph listed for this composition is 79 meV/atom. As for the space-group type: Cmmm, No. 65.

Lattice parameters (Å, degrees): 6.5258 6.1273 7.4735 90.00 90.00 90.00
Closest atoms and distances in Å follow each position.
Fractional positions:
S (0.7501, 0.2503, 0.7844)  2 Pa 2.76, 2 S 3.06, 2 Pb 3.09
S (0.2501, 0.2497, 0.7844)  2 Pa 2.76, 2 S 3.06, 2 Pb 3.09
S (0.7499, 0.7503, 0.2156)  2 Pa 2.76, 2 S 3.06, 2 Pb 3.09
S (0.2502, 0.2497, 0.2156)  2 Pa 2.76, 2 S 3.06, 2 Pb 3.09
S (0.2499, 0.7497, 0.2156)  2 Pa 2.76, 2 S 3.06, 2 Pb 3.09
S (0.7502, 0.2503, 0.2156)  2 Pa 2.76, 2 S 3.06, 2 Pb 3.09
S (0.7498, 0.7503, 0.7844)  2 Pa 2.76, 2 S 3.06, 2 Pb 3.09
S (0.2498, 0.7497, 0.7844)  2 Pa 2.76, 2 S 3.06, 2 Pb 3.09
Pb (0.0000, 0.0000, 0.5000)  8 S 3.09
Pb (0.5000, 0.5000, 0.5000)  8 S 3.09
Pa (0.5000, 0.5000, 0.0000)  8 S 2.76
Pa (0.0000, 0.0000, 0.0000)  8 S 2.76

---

No. 2
Compound: PaPb3S6
Source: Alexandria
Functional: PBE
Structure: relaxed

Output
The value obtained for the uncorrected formation energy is -6.97 eV/f.u. The energy relative to the lowest polymorph listed for this composition is 88 meV/atom. As for the space-group type: P6_322, No. 182.

Lattice parameters (Å, degrees): 7.1622 7.1622 13.1567 90.00 90.00 120.00
Closest atoms and distances in Å follow each position.
Fractional positions:
S (0.0475, 0.3606, 0.1302)  1 Pa 2.64, 1 Pb 2.91
S (0.3132, 0.3606, 0.3698)  1 Pa 2.64, 1 Pb 2.91
S (0.0475, 0.6868, 0.3698)  1 Pa 2.64, 1 Pb 2.91
S (0.6394, 0.6868, 0.1302)  1 Pa 2.64, 1 Pb 2.91
S (0.6868, 0.0475, 0.6302)  1 Pa 2.64, 1 Pb 2.91
S (0.3606, 0.3132, 0.6302)  1 Pa 2.64, 1 Pb 2.91
S (0.6394, 0.9525, 0.3698)  1 Pa 2.64, 1 Pb 2.91
S (0.9525, 0.3132, 0.8698)  1 Pa 2.64, 1 Pb 2.91
S (0.3132, 0.9525, 0.1302)  1 Pa 2.64, 1 Pb 2.91
S (0.6868, 0.6394, 0.8698)  1 Pa 2.64, 1 Pb 2.91
S (0.9525, 0.6394, 0.6302)  1 Pa 2.64, 1 Pb 2.91
S (0.3606, 0.0475, 0.8698)  1 Pa 2.64, 1 Pb 2.91
Pb (0.3333, 0.6667, 0.9638)  6 S 2.91-3.05
Pb (0.6667, 0.3333, 0.0362)  6 S 2.91-3.05
Pb (0.0000, 0.0000, 0.5000)  6 S 2.97
Pb (0.6667, 0.3333, 0.4638)  6 S 2.91-3.05
Pb (0.0000, 0.0000, 0.0000)  6 S 2.97
Pb (0.3333, 0.6667, 0.5362)  6 S 2.91-3.05
Pa (0.3333, 0.6667, 0.2500)  6 S 2.64
Pa (0.6667, 0.3333, 0.7500)  6 S 2.64

---

No. 3
Compound: PaPb3S6
Source: Alexandria
Functional: PBE
Structure: relaxed

Output
The value obtained for the uncorrected formation energy is -7.85 eV/f.u. The energy relative to the lowest polymorph listed for this composition is 0 meV/atom. As for the space-group type: P2_1/c, No. 14.

Lattice parameters (Å, degrees): 7.0230 7.6020 10.2202 90.00 87.28 90.00
Closest atoms and distances in Å follow each position.
Fractional positions:
S (0.8693, 0.9413, 0.2424)  1 Pa 2.64, 2 Pb 2.86-2.91
S (0.8259, 0.7138, 0.9180)  1 Pa 2.65, 1 Pb 2.90
S (0.6741, 0.2138, 0.5820)  1 Pa 2.65, 1 Pb 2.90
S (0.3259, 0.7862, 0.4180)  1 Pa 2.65, 1 Pb 2.90
S (0.1307, 0.0587, 0.7576)  1 Pa 2.64, 2 Pb 2.86-2.91
S (0.3170, 0.8257, 0.0426)  1 Pa 2.64, 2 Pb 2.81-2.86
S (0.6830, 0.1743, 0.9574)  1 Pa 2.64, 2 Pb 2.81-2.86
S (0.8170, 0.6743, 0.5426)  1 Pa 2.64, 2 Pb 2.81-2.86
S (0.3693, 0.5587, 0.7424)  1 Pa 2.64, 2 Pb 2.86-2.91
S (0.6307, 0.4413, 0.2576)  1 Pa 2.64, 2 Pb 2.86-2.91
S (0.1830, 0.3257, 0.4574)  1 Pa 2.64, 2 Pb 2.81-2.86
S (0.1741, 0.2862, 0.0820)  1 Pa 2.65, 1 Pb 2.90
Pb (0.4837, 0.0710, 0.2166)  6 S 2.86-3.15
Pb (0.9837, 0.4290, 0.7166)  6 S 2.86-3.15
Pb (0.0163, 0.5710, 0.2834)  6 S 2.86-3.15
Pb (0.5163, 0.9290, 0.7834)  6 S 2.86-3.15
Pb (0.0000, 0.0000, 0.5000)  6 S 2.81-2.90
Pb (0.5000, 0.5000, 0.0000)  6 S 2.81-2.90
Pa (0.0000, 0.0000, 0.0000)  6 S 2.64-2.65
Pa (0.5000, 0.5000, 0.5000)  6 S 2.64-2.65

---

No. 4
Compound: Pa3Pb2S8
Source: Alexandria
Functional: PBE
Structure: relaxed

Output
The value obtained for the uncorrected formation energy is -16.05 eV/f.u. As for the space-group type: P2/m, No. 10.

Lattice parameters (Å, degrees): 4.1211 11.7657 11.5743 140.19 90.00 90.00
Closest atoms and distances in Å follow each position.
Fractional positions:
S (0.5000, 0.6838, 0.8618)  3 Pa 2.69-2.83
S (0.0000, 0.6188, 0.2122)  2 Pa 2.77-2.94, 2 Pb 2.81
S (0.5000, 0.9091, 0.3016)  2 Pa 2.66, 1 Pb 2.84
S (0.0000, 0.0792, 0.2095)  3 Pa 2.74-2.86
S (0.0000, 0.9208, 0.7905)  3 Pa 2.74-2.86
S (0.5000, 0.3162, 0.1382)  3 Pa 2.69-2.83
S (0.0000, 0.3812, 0.7878)  2 Pa 2.77-2.94, 2 Pb 2.81
S (0.5000, 0.0909, 0.6984)  2 Pa 2.66, 1 Pb 2.84
Pb (0.5000, 0.2823, 0.5592)  4 S 2.81-3.03
Pb (0.5000, 0.7177, 0.4408)  4 S 2.81-3.03
Pa (0.0000, 0.2505, 0.9253)  7 S 2.66-2.94
Pa (0.0000, 0.7495, 0.0747)  7 S 2.66-2.94
Pa (0.5000, 0.0000, 0.0000)  6 S 2.69-2.74

---

No. 5
Compound: SmPaPb2S6
Source: Alexandria
Functional: PBE
Structure: relaxed

Output
The value obtained for the uncorrected formation energy is -12.60 eV/f.u. As for the space-group type: R3, No. 146.

Lattice parameters (Å, degrees): 7.2460 7.2458 7.4764 61.01 61.01 60.00
Closest atoms and distances in Å follow each position.
Fractional positions:
Pa (0.3211, 0.3211, 0.0367)  6 S 2.64-2.67
Pb (0.0227, 0.0227, 0.9320)  6 S 2.99
Pb (0.5258, 0.5257, 0.4227)  6 S 2.98-3.03
S (0.6768, 0.1063, 0.7672)  1 Pa 2.67, 1 Sm 2.77, 2 Pb 2.98-2.99
S (0.5856, 0.1847, 0.2584)  1 Pa 2.64, 1 Sm 2.84
S (0.1847, 0.9713, 0.2583)  1 Pa 2.64, 1 Sm 2.84
S (0.9713, 0.5856, 0.2583)  1 Pa 2.64, 1 Sm 2.84
S (0.4497, 0.6768, 0.7672)  1 Pa 2.67, 1 Sm 2.77, 2 Pb 2.98-2.99
S (0.1063, 0.4497, 0.7672)  1 Pa 2.67, 1 Sm 2.77, 2 Pb 2.98-2.99
Sm (0.8176, 0.8176, 0.5472)  6 S 2.77-2.84

---

No. 6
Compound: TbPaPb2S6
Source: Alexandria
Functional: PBE
Structure: relaxed

Output
The value obtained for the uncorrected formation energy is -12.67 eV/f.u. As for the space-group type: R3, No. 146.

Lattice parameters (Å, degrees): 7.2112 7.2113 7.4275 60.96 60.96 60.00
Closest atoms and distances in Å follow each position.
Fractional positions:
Pb (0.5265, 0.5264, 0.4207)  6 S 2.98-3.02
Pb (0.0239, 0.0240, 0.9282)  6 S 2.98-2.99
S (0.4573, 0.6746, 0.7670)  1 Pa 2.67, 1 Tb 2.73, 1 Pb 2.98
S (0.5865, 0.1795, 0.2613)  1 Pa 2.64, 1 Tb 2.78
S (0.6746, 0.1010, 0.7671)  1 Pa 2.67, 1 Tb 2.73, 1 Pb 2.98
S (0.1010, 0.4573, 0.7671)  1 Pa 2.67, 1 Tb 2.73, 1 Pb 2.98
S (0.9727, 0.5866, 0.2613)  1 Pa 2.64, 1 Tb 2.78
S (0.1795, 0.9726, 0.2613)  1 Pa 2.64, 1 Tb 2.78
Tb (0.8185, 0.8185, 0.5445)  6 S 2.73-2.78
Pa (0.3211, 0.3211, 0.0368)  6 S 2.64-2.67

---

No. 7
Compound: PaTl2Pb2S6
Source: Alexandria
Functional: PBE
Structure: relaxed

Output
The value obtained for the uncorrected formation energy is -8.56 eV/f.u. As for the space-group type: C2/m, No. 12.

Lattice parameters (Å, degrees): 7.0922 7.0922 7.8781 99.11 99.11 118.53
Closest atoms and distances in Å follow each position.
Fractional positions:
Tl (0.1707, 0.8293, 0.0000)  6 S 3.16-3.34
Tl (0.8293, 0.1707, 0.0000)  6 S 3.16-3.34
Pb (0.3321, 0.6679, 0.5000)  6 S 2.87-2.96
Pb (0.6679, 0.3321, 0.5000)  6 S 2.87-2.96
S (0.9332, 0.6239, 0.2966)  1 Pa 2.67, 2 Pb 2.87-2.95
S (0.7717, 0.7717, 0.7083)  1 Pa 2.67, 2 Pb 2.96
S (0.6239, 0.9332, 0.2966)  1 Pa 2.67, 2 Pb 2.87-2.95
S (0.0669, 0.3761, 0.7034)  1 Pa 2.67, 2 Pb 2.87-2.95
S (0.3761, 0.0669, 0.7034)  1 Pa 2.67, 2 Pb 2.87-2.95
S (0.2283, 0.2283, 0.2917)  1 Pa 2.67, 2 Pb 2.96
Pa (0.0000, 0.0000, 0.5000)  6 S 2.67

---

No. 8
Compound: PaTl3Pb2S6
Source: Alexandria
Functional: PBE
Structure: relaxed

Output
The value obtained for the uncorrected formation energy is -10.17 eV/f.u. As for the space-group type: C2/m, No. 12.

Lattice parameters (Å, degrees): 7.3103 7.3103 7.7411 98.95 98.95 119.61
Closest atoms and distances in Å follow each position.
Fractional positions:
S (0.2276, 0.2276, 0.7873)  1 Pa 2.69
S (0.3676, 0.0675, 0.2036)  1 Pa 2.66, 2 Pb 2.97-2.98
S (0.0675, 0.3676, 0.2036)  1 Pa 2.66, 2 Pb 2.97-2.98
S (0.9325, 0.6324, 0.7964)  1 Pa 2.66, 2 Pb 2.97-2.98
S (0.7724, 0.7724, 0.2127)  1 Pa 2.69
S (0.6324, 0.9325, 0.7964)  1 Pa 2.66, 2 Pb 2.97-2.98
Pb (0.6667, 0.3333, 0.0000)  6 S 2.97-3.02
Pb (0.3333, 0.6667, 0.0000)  6 S 2.97-3.02
Tl (0.5000, 0.5000, 0.5000)  6 S 3.20-3.42
Tl (0.1689, 0.8311, 0.5000)  6 S 3.16-3.44
Tl (0.8311, 0.1689, 0.5000)  6 S 3.16-3.44
Pa (0.0000, 0.0000, 0.0000)  6 S 2.66-2.69

---

No. 9
Compound: PaTl2Pb3S6
Source: Alexandria
Functional: PBE
Structure: relaxed

Output
The value obtained for the uncorrected formation energy is -9.21 eV/f.u. As for the space-group type: C2/m, No. 12.

Lattice parameters (Å, degrees): 7.7176 7.7176 7.1314 100.17 100.17 120.80
Closest atoms and distances in Å follow each position.
Fractional positions:
S (0.0830, 0.3639, 0.2398)  1 Pa 2.70, 2 Pb 2.94
S (0.3639, 0.0830, 0.2398)  1 Pa 2.70, 2 Pb 2.94
S (0.6361, 0.9170, 0.7602)  1 Pa 2.70, 2 Pb 2.94
S (0.7920, 0.7920, 0.2497)  1 Pa 2.78, 2 Pb 2.84
S (0.9170, 0.6361, 0.7602)  1 Pa 2.70, 2 Pb 2.94
S (0.2080, 0.2080, 0.7503)  1 Pa 2.78, 2 Pb 2.84
Pb (0.5000, 0.5000, 0.5000)  4 S 2.94
Pb (0.8440, 0.1560, 0.5000)  4 S 2.84-2.94
Pb (0.1560, 0.8440, 0.5000)  4 S 2.84-2.94
Pa (0.0000, 0.0000, 0.0000)  6 S 2.70-2.78
Tl (0.3271, 0.6729, 0.0000)  6 S 3.17-3.27
Tl (0.6729, 0.3271, 0.0000)  6 S 3.17-3.27

---

No. 10
Compound: PaTl2PbS4
Source: Alexandria
Functional: PBE
Structure: relaxed

Output
The value obtained for the uncorrected formation energy is -7.19 eV/f.u. As for the space-group type: P2/m, No. 10.

Lattice parameters (Å, degrees): 4.1390 7.8282 7.3302 72.84 90.00 90.00
Closest atoms and distances in Å follow each position.
Fractional positions:
Pb (0.5000, 0.5000, 0.0000)  6 S 2.96-2.97
S (0.0000, 0.2940, 0.2641)  1 Pa 2.69, 2 Pb 2.96
S (0.5000, 0.3021, 0.7107)  2 Pa 2.77, 1 Pb 2.97
S (0.5000, 0.6979, 0.2893)  2 Pa 2.77, 1 Pb 2.97
S (0.0000, 0.7060, 0.7358)  1 Pa 2.69, 2 Pb 2.96
Tl (0.0000, 0.0000, 0.0000)  6 S 3.38-3.42
Tl (0.5000, 0.0000, 0.5000)  6 S 3.18-3.20
Pa (0.0000, 0.5000, 0.5000)  6 S 2.69-2.77

---

No. 11
Compound: TmPaPb2S6
Source: Alexandria
Functional: PBE
Structure: relaxed

Output
The value obtained for the uncorrected formation energy is -12.66 eV/f.u. As for the space-group type: R3, No. 146.

Lattice parameters (Å, degrees): 7.1750 7.1750 7.3744 60.89 60.89 60.00
Closest atoms and distances in Å follow each position.
Fractional positions:
S (0.6725, 0.0960, 0.7668)  1 Pa 2.67, 1 Tm 2.68
S (0.0960, 0.4647, 0.7668)  1 Pa 2.67, 1 Tm 2.68
S (0.1739, 0.9740, 0.2645)  1 Pa 2.64, 1 Tm 2.73
S (0.5875, 0.1739, 0.2646)  1 Pa 2.64, 1 Tm 2.73
S (0.4647, 0.6725, 0.7668)  1 Pa 2.67, 1 Tm 2.68
S (0.9741, 0.5875, 0.2646)  1 Pa 2.64, 1 Tm 2.73
Tm (0.8192, 0.8193, 0.5422)  6 S 2.68-2.73
Pb (0.0253, 0.0253, 0.9241)  6 S 2.98-3.00
Pb (0.5274, 0.5273, 0.4181)  6 S 2.99-3.02
Pa (0.3211, 0.3210, 0.0368)  6 S 2.64-2.67

---

No. 12
Compound: UPaPbS6
Source: Alexandria
Functional: PBE
Structure: relaxed

Output
The value obtained for the uncorrected formation energy is -10.64 eV/f.u. As for the space-group type: P-31c, No. 163.

Lattice parameters (Å, degrees): 6.9505 6.9505 12.1979 90.00 90.00 120.00
Closest atoms and distances in Å follow each position.
Fractional positions:
Pa (0.6667, 0.3333, 0.2500)  6 S 2.65
Pa (0.3333, 0.6667, 0.7500)  6 S 2.65
S (0.6383, 0.0030, 0.8662)  1 U 2.62, 1 Pa 2.65
S (0.0030, 0.3647, 0.1338)  1 U 2.62, 1 Pa 2.65
S (0.6353, 0.9970, 0.3662)  1 U 2.62, 1 Pa 2.65
S (0.3647, 0.3617, 0.8662)  1 U 2.62, 1 Pa 2.65
S (0.3647, 0.0030, 0.6338)  1 U 2.62, 1 Pa 2.65
S (0.6353, 0.6383, 0.1338)  1 U 2.62, 1 Pa 2.65
S (0.3617, 0.3647, 0.3662)  1 U 2.62, 1 Pa 2.65
S (0.0030, 0.6383, 0.3662)  1 U 2.62, 1 Pa 2.65
S (0.3617, 0.9970, 0.1338)  1 U 2.62, 1 Pa 2.65
S (0.6383, 0.6353, 0.6338)  1 U 2.62, 1 Pa 2.65
S (0.9970, 0.3617, 0.6338)  1 U 2.62, 1 Pa 2.65
S (0.9970, 0.6353, 0.8662)  1 U 2.62, 1 Pa 2.65
U (0.6667, 0.3333, 0.7500)  6 S 2.62
U (0.3333, 0.6667, 0.2500)  6 S 2.62
Pb (0.0000, 0.0000, 0.5000)  6 S 3.01
Pb (0.0000, 0.0000, 0.0000)  6 S 3.01

---

Fermi-level density of states, respectively: 0.837 7.383 4.707 14.182 0.000 0.000 6.947 0.000 3.561 4.370 0.000 1.261 states/eV/f.u..
E_tot, respectively: -5.793 -5.236 -5.324 -6.536 -5.899 -5.897 -4.998 -4.912 -4.944 -5.205 -5.881 -6.656 eV per atom.